Crystalline H3Pd3Rh at its relaxed geometry, computed with GGA-PBE.

Cell and atoms, written as POSCAR:
```
H3Pd3Rh
1.0
-2.7465 -3.1272 3.6647
5.1693 -1.4855 -1.3505
0.6785 5.1335 2.7514
H Rh Pd
6 2 6
direct
0.3058 0.5764 0.2278
0.5764 0.3058 0.2278
0.4236 0.6942 0.7722
0.8957 0.8957 0.0760
0.6942 0.4236 0.7722
0.1043 0.1043 0.9240
0.2464 0.2464 0.2666
0.7536 0.7536 0.7334
0.2487 0.7513 0.0000
0.7513 0.2487 0.0000
0.2445 0.7555 0.5000
0.2649 0.2649 0.7375
0.7555 0.2445 0.5000
0.7351 0.7351 0.2625
```

Values from the calculation:
Theoretical density (g/cm³): 10.1
Uncorrected energy (eV per atom): -4.704
Distance to the lowest polymorph of the same formula (meV/atom): 39
Crystal system: monoclinic

=====

Crystalline CaHoMgSn at its relaxed geometry, computed with GGA-PBE.

Cell and atoms, written as POSCAR:
```
CaHoMgSn
1.0
5.3549 0.0000 0.0000
2.6775 4.6375 0.0000
2.6775 1.5458 4.3723
Sn Ho Mg Ca
1 1 1 1
direct
0.2500 0.2500 0.2500
0.0000 0.0000 0.0000
0.7500 0.7500 0.7500
0.5000 0.5000 0.5000
```

Values from the calculation:
Formation energy (eV/atom): -0.36
Theoretical density (g/cm³): 5.3
Uncorrected energy (eV per atom): -3.406
Crystal system: cubic

=====

Q: Look up the theoretical density of the first one.
A: 10.1 g/cm³

=====

Q: Which of these has the highest uncorrected energy?
A: CaHoMgSn